An optimized crystal structure of PuMg5Sn6. Source: Alexandria via LeMat-Bulk, functional PBE.

Its density of states at the Fermi level is 16.6 states/eV/cell. As for the formation energy: -1.90 eV/f.u. The value obtained for the total moment is 0.479 μB/atom. Its volume is 24.28 Å³ per atom. The total energy comes out at -48.2 eV for the cell shown.

The structure belongs to space group P2/m (No. 10); the cell edges are 4.702, 8.704 and 7.490 Å and the angles 90.00°, 108.10° and 90.00°. Symmetry generates all atoms from Pu at (0.000, 0.000, 0.000), Mg at (0.000, 0.500, 0.000), Mg at (0.328, 0.000, 0.658), Mg at (0.332, 0.500, 0.665), Sn at (0.169, 0.257, 0.336) and Sn at (0.500, 0.257, 0.000).



An optimized crystal structure of K3P6N11. Source: Alexandria via LeMat-Bulk, functional PBE.

Its density of states at the Fermi level is 0.0 states/eV/cell. The value obtained for the total moment is 0.000 μB/atom. Its uncorrected formation energy is -0.620 eV/atom. Its volume is 14.44 Å³ per atom. The total energy comes out at -558.9 eV for the cell shown.

The structure belongs to space group P4_132 (No. 213); the cell edges are 10.492, 10.492 and 10.492 Å and the angles 90.00°, 90.00° and 90.00°. Symmetry generates all atoms from K at (0.001, 0.499, 0.501), K at (0.125, 0.625, 0.875), P at (0.035, 0.822, 0.551), N at (0.014, 0.354, 0.280), N at (0.047, 0.953, 0.453) and N at (0.053, 0.875, 0.697).



An optimized crystal structure of La2ScHg4. Source: Alexandria via LeMat-Bulk, functional PBE.

Its density of states at the Fermi level is 19.0 states/eV/cell. As for the formation energy: -2.53 eV/f.u. The value obtained for the total moment is 0.000 μB/atom. Its volume is 29.66 Å³ per atom. The total energy comes out at -59.8 eV for the cell shown.

The structure belongs to space group R-3m (No. 166, hexagonal axes); the cell edges are 4.8819, 4.8819 and 30.1720 Å and the angles 90.00°, 90.00° and 120.00°. Symmetry generates all atoms from La at (0.0000, 0.0000, 0.2471), Sc at (0.0000, 0.0000, 0.0000), Hg at (0.0000, 0.0000, 0.1391) and Hg at (0.0000, 0.0000, 0.3622).



An optimized crystal structure of AcMgSiPd3. Source: Alexandria via LeMat-Bulk, functional PBE.

Its density of states at the Fermi level is 13.0 states/eV/cell. The value obtained for the total moment is 0.000 μB/atom. Its uncorrected formation energy is -0.574 eV/atom. Its volume is 22.89 Å³ per atom. The total energy comes out at -120.6 eV for the cell shown.

The structure belongs to space group Cmcm (No. 63); the cell edges are 5.818, 15.358 and 6.147 Å and the angles 90.00°, 90.00° and 90.00°. Symmetry generates all atoms from Ac at (0.000, 0.215, 0.250), Mg at (0.000, 0.101, 0.750), Si at (0.000, 0.426, 0.750), Pd at (0.000, 0.271, 0.750) and Pd at (0.248, 0.500, 0.000).